Entry 1:
This record from Alexandria via LeMat-Bulk describes crystalline CdHCl2 at its relaxed geometry. The functional is PBE.

Results
As for the offset from the most stable computed form: 374 meV/atom. As for the magnetization: 0.00 μB/cell.

Cell lengths 5.9228, 5.9228, 9.2014 Å; angles 90.00, 90.00, 90.00 degrees
Space group I-42d (No. 122)
Asymmetric unit:
Cd 0.0000 0.0000 0.0000
H 0.0000 0.0000 0.5000
Cl 0.1297 0.2500 0.6250

Entry 2:
This record from Alexandria via LeMat-Bulk describes crystalline Ba2In4BiAu3 at its relaxed geometry. The functional is PBE.

Results
Its formation energy is -0.50 eV/atom. As for the magnetization: 0.00 μB/cell.

Cell lengths 4.9397, 4.9397, 11.7658 Å; angles 90.00, 90.00, 90.00 degrees
Space group P-4m2 (No. 115)
Asymmetric unit:
Ba 0.0000 0.5000 0.2452
In 0.0000 0.0000 0.0000
In 0.0000 0.5000 0.6441
In 0.5000 0.5000 0.0000
Bi 0.0000 0.0000 0.5000
Au 0.0000 0.5000 0.8779
Au 0.5000 0.5000 0.5000

Entry 3:
This record from Alexandria via LeMat-Bulk describes crystalline KLiP at its relaxed geometry. The functional is PBE.

Results
As for the offset from the most stable computed form: 248 meV/atom. Its formation energy is -0.18 eV/atom. As for the magnetization: 0.00 μB/cell.

Cell lengths 4.7277, 4.7277, 3.5831 Å; angles 90.00, 90.00, 120.00 degrees
Space group P-6m2 (No. 187)
Asymmetric unit:
K 0.0000 0.0000 0.0000
Li 0.6667 0.3333 0.5000
P 0.3333 0.6667 0.5000

Entry 4:
This record from Alexandria via LeMat-Bulk describes crystalline BeSeCl at its relaxed geometry. The functional is PBE.

Results
As for the offset from the most stable computed form: 782 meV/atom. The uncorrected formation energy is 0.215 eV/atom. As for the magnetization: 0.00 μB/cell.

Cell lengths 6.0627, 6.0627, 6.0627 Å; angles 90.00, 90.00, 90.00 degrees
Space group F-43m (No. 216)
Asymmetric unit:
Be 0.0000 0.0000 0.0000
Se 0.2500 0.2500 0.2500
Cl 0.2500 0.2500 0.7500

Entry 5:
This record from Alexandria via LeMat-Bulk describes crystalline Tb2HfTl2Se6 at its relaxed geometry. The functional is PBE.

Results
The uncorrected formation energy is -1.373 eV/atom. As for the magnetization: 0.00 μB/cell.

Cell lengths 7.0606, 12.1643, 8.2121 Å; angles 90.00, 107.19, 90.00 degrees
Space group C2/m (No. 12)
Asymmetric unit:
Tb 0.0000 0.1676 0.0000
Hf 0.0000 0.5000 0.0000
Tl 0.0000 0.3297 0.5000
Se 0.2271 0.3434 0.2000
Se 0.2440 0.5000 0.7994

Entry 6:
This record from Alexandria via LeMat-Bulk describes crystalline Ba2PmTl5 at its relaxed geometry. The functional is PBE.

Results
Its formation energy is -0.32 eV/atom. As for the magnetization: 0.00 μB/cell.

Cell lengths 5.7807, 5.7807, 16.1935 Å; angles 90.00, 90.00, 90.00 degrees
Space group I4/mmm (No. 139)
Asymmetric unit:
Ba 0.0000 0.0000 0.2380
Pm 0.0000 0.0000 0.5000
Tl 0.0000 0.0000 0.0000
Tl 0.0000 0.5000 0.1055